1.
! ScTc2B GGA-PBE optimized geometry; values from VASP
&SYSTEM
  ibrav = 0, nat = 8, ntyp = 3
/
ATOMIC_SPECIES
Sc 44.96 Sc.upf
Tc 98.00 Tc.upf
B 10.81 B.upf
ATOMIC_POSITIONS crystal
Sc 0.750 0.250 0.500
Tc 0.541 0.125 0.250
B 0.500 0.500 0.000
Tc 0.209 0.625 0.250
Tc 0.375 0.459 0.750
Tc 0.875 0.791 0.750
B 0.250 0.750 0.500
Sc 0.000 0.000 0.000
CELL_PARAMETERS angstrom
3.867 0.000 0.000
0.000 3.867 0.000
1.934 1.934 8.476
! D(E_F)	8.34	states/eV/cell
! formation energy	0.442	eV/atom



2.
! Ac2SiH GGA-PBE optimized geometry; values from VASP
&SYSTEM
  ibrav = 0, nat = 4, ntyp = 3
/
ATOMIC_SPECIES
Ac 227.00 Ac.upf
Si 28.09 Si.upf
H 1.01 H.upf
ATOMIC_POSITIONS crystal
Ac 0.000 0.500 0.000
Si 0.500 0.000 0.000
Ac 0.000 0.000 0.500
H 0.500 0.500 0.500
CELL_PARAMETERS angstrom
3.784 0.000 0.000
0.000 5.271 0.000
0.000 0.000 5.271
! D(E_F)	2.24	states/eV/cell
! offset from the most stable computed form	243	meV per atom



3.
! RbTl2V GGA-PBE optimized geometry; values from VASP
&SYSTEM
  ibrav = 0, nat = 4, ntyp = 3
/
ATOMIC_SPECIES
V 50.94 V.upf
Tl 204.38 Tl.upf
Rb 85.47 Rb.upf
ATOMIC_POSITIONS crystal
V 0.000 0.000 0.000
Tl 0.750 0.750 0.750
Tl 0.250 0.250 0.250
Rb 0.500 0.500 0.500
CELL_PARAMETERS angstrom
2.281 -2.652 4.269
-2.903 -3.795 2.762
1.309 -5.342 -0.451
! D(E_F)	6.63	states/eV/cell
! offset from the most stable computed form	68	meV per atom
! formation energy	0.658	eV/atom



4.
! Zn4Ni2Ir GGA-PBE optimized geometry; values from VASP
&SYSTEM
  ibrav = 0, nat = 7, ntyp = 3
/
ATOMIC_SPECIES
Ir 192.22 Ir.upf
Ni 58.69 Ni.upf
Zn 65.41 Zn.upf
ATOMIC_POSITIONS crystal
Ir 0.000 0.000 0.000
Ni 0.500 0.000 0.500
Zn 0.500 0.000 0.000
Zn 0.000 0.000 0.500
Ni 0.500 0.500 0.000
Zn 0.500 0.500 0.500
Zn 0.000 0.500 0.000
CELL_PARAMETERS angstrom
1.213 4.922 -0.423
1.544 -2.738 -4.000
-5.028 -0.766 0.098
! D(E_F)	3.64	states/eV/cell
! formation energy	-0.205	eV/atom



5.
! AcGa6Cu12 GGA-PBE optimized geometry; values from VASP
&SYSTEM
  ibrav = 0, nat = 19, ntyp = 3
/
ATOMIC_SPECIES
Cu 63.55 Cu.upf
Ac 227.00 Ac.upf
Ga 69.72 Ga.upf
ATOMIC_POSITIONS crystal
Cu 0.602 0.871 0.602
Ac 0.000 0.000 0.000
Cu 0.887 0.113 0.500
Ga 0.272 0.698 0.272
Cu 0.129 0.398 0.398
Cu 0.602 0.602 0.871
Ga 0.302 0.728 0.728
Cu 0.500 0.887 0.113
Cu 0.398 0.398 0.129
Cu 0.113 0.500 0.887
Cu 0.887 0.500 0.113
Ga 0.272 0.272 0.698
Ga 0.698 0.272 0.272
Cu 0.398 0.129 0.398
Ga 0.728 0.728 0.302
Cu 0.113 0.887 0.500
Cu 0.871 0.602 0.602
Cu 0.500 0.113 0.887
Ga 0.728 0.302 0.728
CELL_PARAMETERS angstrom
-6.701 -0.785 1.357
0.290 -0.126 -6.875
2.748 -6.032 1.851
! D(E_F)	4.15	states/eV/cell
! formation energy	-0.074	eV/atom



6.
! Pu2Sn GGA-PBE optimized geometry; values from VASP
&SYSTEM
  ibrav = 0, nat = 12, ntyp = 2
/
ATOMIC_SPECIES
Sn 118.71 Sn.upf
Pu 244.00 Pu.upf
ATOMIC_POSITIONS crystal
Sn 0.750 0.750 0.917
Pu 0.250 0.750 0.083
Pu 0.250 0.000 0.750
Pu 0.750 0.000 0.250
Sn 0.250 0.250 0.083
Pu 0.750 0.750 0.583
Pu 0.250 0.500 0.750
Pu 0.750 0.250 0.917
Pu 0.250 0.250 0.417
Sn 0.250 0.750 0.417
Pu 0.750 0.500 0.250
Sn 0.750 0.250 0.583
CELL_PARAMETERS angstrom
-1.183 -5.234 0.213
5.166 -1.013 3.797
-5.241 1.495 7.530
! D(E_F)	45.68	states/eV/cell
! formation energy	-0.285	eV/atom



7.
! NdTmCdSn GGA-PBE optimized geometry; values from VASP
&SYSTEM
  ibrav = 0, nat = 4, ntyp = 4
/
ATOMIC_SPECIES
Cd 112.41 Cd.upf
Sn 118.71 Sn.upf
Nd 144.24 Nd.upf
Tm 168.93 Tm.upf
ATOMIC_POSITIONS crystal
Cd 0.750 0.750 0.750
Sn 0.250 0.250 0.250
Nd 0.000 0.000 0.000
Tm 0.500 0.500 0.500
CELL_PARAMETERS angstrom
5.338 0.000 0.000
2.669 4.622 0.000
2.669 1.541 4.358
! D(E_F)	2.61	states/eV/cell
! formation energy	-0.487	eV/atom